Arrangement i

Here is crystalline HfGa3C at its relaxed geometry from Alexandria via LeMat-Bulk. Energies are from PBE-GGA.

CIF file:
```
data_HfGa3C
_cell_length_a 5.257
_cell_length_b 5.257
_cell_length_c 5.257
_cell_angle_alpha 90.00
_cell_angle_beta 90.00
_cell_angle_gamma 90.00
_symmetry_space_group_name_H-M 'P 1'
_symmetry_Int_Tables_number 1
loop_
_symmetry_equiv_pos_as_xyz
'x,y,z'
loop_
_atom_site_label
_atom_site_fract_x
_atom_site_fract_y
_atom_site_fract_z
C1 0.500 0.500 0.500
Hf1 0.000 0.000 0.000
Ga1 0.000 0.500 0.000
Ga2 0.000 0.000 0.500
Ga3 0.500 0.000 0.000
```

* D(E_F): 3.7 states/eV per cell
* density: 4.6 Mg/m³

=====

Arrangement ii

Here is crystalline HfGa3C at its relaxed geometry from Alexandria via LeMat-Bulk. Energies are from PBE-GGA.

CIF file:
```
data_HfGa3C
_cell_length_a 4.329
_cell_length_b 4.329
_cell_length_c 4.329
_cell_angle_alpha 90.00
_cell_angle_beta 90.00
_cell_angle_gamma 90.00
_symmetry_space_group_name_H-M 'P 1'
_symmetry_Int_Tables_number 1
loop_
_symmetry_equiv_pos_as_xyz
'x,y,z'
loop_
_atom_site_label
_atom_site_fract_x
_atom_site_fract_y
_atom_site_fract_z
C1 0.000 0.000 0.000
Hf1 0.500 0.500 0.500
Ga1 0.000 0.500 0.000
Ga2 0.000 0.000 0.500
Ga3 0.500 0.000 0.000
```

* D(E_F): 3.8 states/eV per cell
* density: 8.2 Mg/m³

=====

Stability, descending: arrangement ii, arrangement i

=====

Arrangement i

Here is crystalline HfGaC3 at its relaxed geometry from Alexandria via LeMat-Bulk. Energies are from PBE-GGA.

CIF file:
```
data_HfGaC3
_cell_length_a 4.331
_cell_length_b 4.331
_cell_length_c 4.331
_cell_angle_alpha 90.00
_cell_angle_beta 90.00
_cell_angle_gamma 90.00
_symmetry_space_group_name_H-M 'P 1'
_symmetry_Int_Tables_number 1
loop_
_symmetry_equiv_pos_as_xyz
'x,y,z'
loop_
_atom_site_label
_atom_site_fract_x
_atom_site_fract_y
_atom_site_fract_z
C1 0.000 0.500 0.000
C2 0.000 0.000 0.500
C3 0.500 0.000 0.000
Hf1 0.000 0.000 0.000
Ga1 0.500 0.500 0.500
```

* D(E_F): 1.7 states/eV per cell
* density: 5.8 Mg/m³

=====

Arrangement ii

Here is crystalline HfGaC3 at its relaxed geometry from Alexandria via LeMat-Bulk. Energies are from PBE-GGA.

CIF file:
```
data_HfGaC3
_cell_length_a 3.897
_cell_length_b 3.897
_cell_length_c 3.897
_cell_angle_alpha 90.00
_cell_angle_beta 90.00
_cell_angle_gamma 90.00
_symmetry_space_group_name_H-M 'P 1'
_symmetry_Int_Tables_number 1
loop_
_symmetry_equiv_pos_as_xyz
'x,y,z'
loop_
_atom_site_label
_atom_site_fract_x
_atom_site_fract_y
_atom_site_fract_z
C1 0.000 0.500 0.000
C2 0.000 0.000 0.500
C3 0.500 0.000 0.000
Hf1 0.500 0.500 0.500
Ga1 0.000 0.000 0.000
```

* D(E_F): 3.1 states/eV per cell
* density: 8.0 Mg/m³

=====

Stability, descending: arrangement ii, arrangement i

=====

Arrangement i

Here is crystalline GaHg2C at its relaxed geometry from Alexandria via LeMat-Bulk. Energies are from PBE-GGA.

CIF file:
```
data_GaHg2C
_cell_length_a 4.716
_cell_length_b 4.716
_cell_length_c 4.716
_cell_angle_alpha 60.00
_cell_angle_beta 60.00
_cell_angle_gamma 60.00
_symmetry_space_group_name_H-M 'P 1'
_symmetry_Int_Tables_number 1
loop_
_symmetry_equiv_pos_as_xyz
'x,y,z'
loop_
_atom_site_label
_atom_site_fract_x
_atom_site_fract_y
_atom_site_fract_z
C1 0.000 0.000 0.000
Hg1 0.250 0.250 0.250
Hg2 0.750 0.750 0.750
Ga1 0.500 0.500 0.500
```

* D(E_F): 2.7 states/eV per cell
* density: 10.8 Mg/m³

=====

Arrangement ii

Here is crystalline GaHg2C at its relaxed geometry from Alexandria via LeMat-Bulk. Energies are from PBE-GGA.

CIF file:
```
data_GaHg2C
_cell_length_a 6.889
_cell_length_b 6.889
_cell_length_c 6.891
_cell_angle_alpha 60.01
_cell_angle_beta 60.01
_cell_angle_gamma 90.00
_symmetry_space_group_name_H-M 'P 1'
_symmetry_Int_Tables_number 1
loop_
_symmetry_equiv_pos_as_xyz
'x,y,z'
loop_
_atom_site_label
_atom_site_fract_x
_atom_site_fract_y
_atom_site_fract_z
C1 0.500 0.500 0.000
C2 0.250 0.750 0.500
Hg1 0.375 0.125 0.250
Hg2 0.375 0.625 0.250
Hg3 0.375 0.625 0.750
Hg4 0.875 0.625 0.750
Ga1 0.000 0.000 0.000
Ga2 0.750 0.250 0.500
```

* D(E_F): 2.8 states/eV per cell
* density: 6.9 Mg/m³

=====

Stability, descending: arrangement ii, arrangement i

=====

Arrangement i

Here is crystalline GaHgC3 at its relaxed geometry from Alexandria via LeMat-Bulk. Energies are from PBE-GGA.

CIF file:
```
data_GaHgC3
_cell_length_a 4.362
_cell_length_b 4.362
_cell_length_c 4.362
_cell_angle_alpha 90.00
_cell_angle_beta 90.00
_cell_angle_gamma 90.00
_symmetry_space_group_name_H-M 'P 1'
_symmetry_Int_Tables_number 1
loop_
_symmetry_equiv_pos_as_xyz
'x,y,z'
loop_
_atom_site_label
_atom_site_fract_x
_atom_site_fract_y
_atom_site_fract_z
C1 0.000 0.500 0.000
C2 0.000 0.000 0.500
C3 0.500 0.000 0.000
Hg1 0.000 0.000 0.000
Ga1 0.500 0.500 0.500
```

* D(E_F): 4.1 states/eV per cell
* density: 6.1 Mg/m³

=====

Arrangement ii

Here is crystalline GaHgC3 at its relaxed geometry from Alexandria via LeMat-Bulk. Energies are from PBE-GGA.

CIF file:
```
data_GaHgC3
_cell_length_a 4.095
_cell_length_b 4.095
_cell_length_c 4.095
_cell_angle_alpha 90.00
_cell_angle_beta 90.00
_cell_angle_gamma 90.00
_symmetry_space_group_name_H-M 'P 1'
_symmetry_Int_Tables_number 1
loop_
_symmetry_equiv_pos_as_xyz
'x,y,z'
loop_
_atom_site_label
_atom_site_fract_x
_atom_site_fract_y
_atom_site_fract_z
C1 0.000 0.500 0.000
C2 0.000 0.000 0.500
C3 0.500 0.000 0.000
Hg1 0.500 0.500 0.500
Ga1 0.000 0.000 0.000
```

* D(E_F): 3.0 states/eV per cell
* density: 7.4 Mg/m³

=====

Stability, descending: arrangement ii, arrangement i

=====

Arrangement i

Here is crystalline Ga2HgC at its relaxed geometry from Alexandria via LeMat-Bulk. Energies are from PBE-GGA.

CIF file:
```
data_Ga2HgC
_cell_length_a 4.619
_cell_length_b 4.619
_cell_length_c 4.619
_cell_angle_alpha 60.00
_cell_angle_beta 60.00
_cell_angle_gamma 60.00
_symmetry_space_group_name_H-M 'P 1'
_symmetry_Int_Tables_number 1
loop_
_symmetry_equiv_pos_as_xyz
'x,y,z'
loop_
_atom_site_label
_atom_site_fract_x
_atom_site_fract_y
_atom_site_fract_z
C1 0.000 0.000 0.000
Hg1 0.500 0.500 0.500
Ga1 0.250 0.250 0.250
Ga2 0.750 0.750 0.750
```

* D(E_F): 2.7 states/eV per cell
* density: 8.4 Mg/m³

=====

Arrangement ii

Here is crystalline Ga2HgC at its relaxed geometry from Alexandria via LeMat-Bulk. Energies are from PBE-GGA.

CIF file:
```
data_Ga2HgC
_cell_length_a 5.845
_cell_length_b 5.845
_cell_length_c 5.973
_cell_angle_alpha 60.71
_cell_angle_beta 60.71
_cell_angle_gamma 90.00
_symmetry_space_group_name_H-M 'P 1'
_symmetry_Int_Tables_number 1
loop_
_symmetry_equiv_pos_as_xyz
'x,y,z'
loop_
_atom_site_label
_atom_site_fract_x
_atom_site_fract_y
_atom_site_fract_z
C1 0.500 0.500 0.000
C2 0.250 0.750 0.500
Hg1 0.000 0.000 0.000
Hg2 0.750 0.250 0.500
Ga1 0.516 0.125 0.250
Ga2 0.234 0.625 0.250
Ga3 0.375 0.484 0.750
Ga4 0.875 0.766 0.750
```

* D(E_F): 0.5 states/eV per cell
* density: 7.9 Mg/m³

=====

Stability, descending: arrangement ii, arrangement i

=====

Arrangement i

Here is crystalline Ho4Ga2C at its relaxed geometry from Alexandria via LeMat-Bulk. Energies are from PBE-GGA.

CIF file:
```
data_Ho4Ga2C
_cell_length_a 5.600
_cell_length_b 6.558
_cell_length_c 9.649
_cell_angle_alpha 90.00
_cell_angle_beta 115.63
_cell_angle_gamma 90.00
_symmetry_space_group_name_H-M 'P 1'
_symmetry_Int_Tables_number 1
loop_
_symmetry_equiv_pos_as_xyz
'x,y,z'
loop_
_atom_site_label
_atom_site_fract_x
_atom_site_fract_y
_atom_site_fract_z
Ho1 0.488 0.507 0.257
Ho2 0.131 0.750 0.910
Ho3 0.869 0.250 0.090
Ho4 0.488 0.993 0.257
Ho5 0.887 0.250 0.598
Ho6 0.512 0.007 0.743
Ho7 0.512 0.493 0.743
Ho8 0.113 0.750 0.402
Ga1 0.739 0.750 0.060
Ga2 0.261 0.250 0.940
Ga3 0.236 0.250 0.433
Ga4 0.764 0.750 0.567
C1 0.154 0.750 0.161
C2 0.846 0.250 0.839
```

* D(E_F): 4.5 states/eV per cell
* density: 8.4 Mg/m³

=====

Arrangement ii

Here is crystalline Ho4Ga2C at its relaxed geometry from Alexandria via LeMat-Bulk. Energies are from PBE-GGA.

CIF file:
```
data_Ho4Ga2C
_cell_length_a 4.854
_cell_length_b 4.854
_cell_length_c 7.864
_cell_angle_alpha 72.02
_cell_angle_beta 72.02
_cell_angle_gamma 90.00
_symmetry_space_group_name_H-M 'P 1'
_symmetry_Int_Tables_number 1
loop_
_symmetry_equiv_pos_as_xyz
'x,y,z'
loop_
_atom_site_label
_atom_site_fract_x
_atom_site_fract_y
_atom_site_fract_z
C1 0.000 0.000 0.000
Ho1 0.829 0.829 0.343
Ho2 0.171 0.171 0.657
Ho3 0.000 0.500 0.000
Ho4 0.500 0.000 0.000
Ga1 0.624 0.624 0.752
Ga2 0.376 0.376 0.248
```

* D(E_F): 0.7 states/eV per cell
* density: 8.1 Mg/m³

=====

Arrangement iii

Here is crystalline Ho4Ga2C at its relaxed geometry from Alexandria via LeMat-Bulk. Energies are from PBE-GGA.

CIF file:
```
data_Ho4Ga2C
_cell_length_a 3.711
_cell_length_b 6.323
_cell_length_c 7.377
_cell_angle_alpha 76.14
_cell_angle_beta 75.43
_cell_angle_gamma 72.93
_symmetry_space_group_name_H-M 'P 1'
_symmetry_Int_Tables_number 1
loop_
_symmetry_equiv_pos_as_xyz
'x,y,z'
loop_
_atom_site_label
_atom_site_fract_x
_atom_site_fract_y
_atom_site_fract_z
C1 0.000 0.000 0.000
Ho1 0.086 0.168 0.661
Ho2 0.914 0.832 0.339
Ho3 0.346 0.247 0.062
Ho4 0.654 0.753 0.938
Ga1 0.377 0.587 0.659
Ga2 0.623 0.413 0.341
```

* D(E_F): 4.6 states/eV per cell
* density: 8.5 Mg/m³

=====

Stability, descending: arrangement iii, arrangement ii, arrangement i